(1)
This record from Alexandria via LeMat-Bulk describes Nd6NpN8 after structural relaxation. The functional is PBE-GGA.

Unit cell a=7.5524 b=7.5524 c=14.8456 alpha=90.00 beta=90.00 gamma=120.00
Space group R-3 (No. 148, hexagonal axes)
One atom of each set of equivalent atoms:
Nd 0.0337 0.6242 0.4151 [18 per cell]
Np 0.0000 0.0000 0.5000 [3 per cell]
N 0.0000 0.0000 0.1749 [6 per cell]
N 0.0103 0.7642 0.5841 [18 per cell]

Results
E_form (uncorrected): -1.1010 eV per atom

(2)
This record from Alexandria via LeMat-Bulk describes Nd2NpPaN6 after structural relaxation. The functional is PBE-GGA.

Unit cell a=5.896 b=6.045 c=10.294 alpha=90.00 beta=124.81 gamma=90.00
Space group P2_1/c (No. 14)
One atom of each set of equivalent atoms:
Nd 0.237 0.046 0.251 [4 per cell]
Np 0.000 0.000 0.500 [2 per cell]
Pa 0.500 0.000 0.000 [2 per cell]
N 0.143 0.209 0.937 [4 per cell]
N 0.224 0.693 0.946 [4 per cell]
N 0.346 0.041 0.739 [4 per cell]

Results
E_form (uncorrected): -1.3302 eV per atom

(3)
This record from Alexandria via LeMat-Bulk describes NdNp2PaN4 after structural relaxation. The functional is PBE-GGA.

Unit cell a=6.078 b=3.498 c=6.096 alpha=90.00 beta=109.56 gamma=90.00
Space group P2/m (No. 10)
One atom of each set of equivalent atoms:
Nd 0.000 0.000 0.000 [1 per cell]
Np 0.000 0.500 0.500 [1 per cell]
Np 0.500 0.000 0.500 [1 per cell]
Pa 0.500 0.500 0.000 [1 per cell]
N 0.264 0.000 0.747 [2 per cell]
N 0.274 0.500 0.271 [2 per cell]

Results
E_form (uncorrected): -1.2914 eV per atom

(4)
This record from Alexandria via LeMat-Bulk describes Nd3NpPa2N6 after structural relaxation. The functional is PBE-GGA.

Unit cell a=6.160 b=10.668 c=6.200 alpha=90.00 beta=109.38 gamma=90.00
Space group C2/m (No. 12)
One atom of each set of equivalent atoms:
Nd 0.000 0.000 0.000 [2 per cell]
Nd 0.000 0.334 0.000 [4 per cell]
Np 0.000 0.500 0.500 [2 per cell]
Pa 0.000 0.167 0.500 [4 per cell]
N 0.235 0.000 0.715 [4 per cell]
N 0.240 0.332 0.714 [8 per cell]

Results
E_form (uncorrected): -1.4637 eV per atom

(5)
This record from Alexandria via LeMat-Bulk describes Pm2Nd3NpN6 after structural relaxation. The functional is PBE-GGA.

Unit cell a=6.210 b=10.746 c=6.212 alpha=90.00 beta=109.47 gamma=90.00
Space group C2/m (No. 12)
One atom of each set of equivalent atoms:
Pm 0.000 0.166 0.000 [4 per cell]
Nd 0.000 0.000 0.500 [2 per cell]
Nd 0.000 0.333 0.500 [4 per cell]
Np 0.000 0.500 0.000 [2 per cell]
N 0.228 0.348 0.228 [8 per cell]
N 0.228 0.500 0.768 [4 per cell]

Results
E_form (uncorrected): -1.3822 eV per atom

(6)
This record from Alexandria via LeMat-Bulk describes Pm2NdNpN4 after structural relaxation. The functional is PBE-GGA.

Unit cell a=3.484 b=13.319 c=11.279 alpha=90.00 beta=90.00 gamma=90.00
Space group Cmcm (No. 63)
One atom of each set of equivalent atoms:
Pm 0.000 0.128 0.015 [8 per cell]
Nd 0.000 0.269 0.750 [4 per cell]
Np 0.000 0.462 0.250 [4 per cell]
N 0.000 0.072 0.250 [4 per cell]
N 0.000 0.299 0.118 [8 per cell]
N 0.000 0.500 0.000 [4 per cell]

Results
E_form (uncorrected): -1.0988 eV per atom

(7)
This record from Alexandria via LeMat-Bulk describes PrNd2NpN4 after structural relaxation. The functional is PBE-GGA.

Unit cell a=3.519 b=13.367 c=11.392 alpha=90.00 beta=90.00 gamma=90.00
Space group Cmcm (No. 63)
One atom of each set of equivalent atoms:
Pr 0.000 0.231 0.250 [4 per cell]
Nd 0.000 0.373 0.515 [8 per cell]
Np 0.000 0.039 0.750 [4 per cell]
N 0.000 0.000 0.000 [4 per cell]
N 0.000 0.200 0.619 [8 per cell]
N 0.000 0.432 0.750 [4 per cell]

Results
E_form (uncorrected): -1.0434 eV per atom

(8)
This record from Alexandria via LeMat-Bulk describes Pr3Nd2NpN6 after structural relaxation. The functional is PBE-GGA.

Unit cell a=6.261 b=10.827 c=6.263 alpha=90.00 beta=109.46 gamma=90.00
Space group C2/m (No. 12)
One atom of each set of equivalent atoms:
Pr 0.000 0.000 0.000 [2 per cell]
Pr 0.000 0.333 0.000 [4 per cell]
Nd 0.000 0.166 0.500 [4 per cell]
Np 0.000 0.500 0.500 [2 per cell]
N 0.224 0.351 0.723 [8 per cell]
N 0.225 0.500 0.270 [4 per cell]

Results
E_form (uncorrected): -1.3256 eV per atom

(9)
This record from Alexandria via LeMat-Bulk describes Nd2PuNpN6 after structural relaxation. The functional is PBE-GGA.

Unit cell a=5.828 b=6.031 c=10.116 alpha=90.00 beta=124.22 gamma=90.00
Space group P2_1/c (No. 14)
One atom of each set of equivalent atoms:
Nd 0.235 0.053 0.247 [4 per cell]
Pu 0.000 0.000 0.500 [2 per cell]
Np 0.500 0.000 0.000 [2 per cell]
N 0.169 0.194 0.950 [4 per cell]
N 0.215 0.690 0.943 [4 per cell]
N 0.366 0.036 0.763 [4 per cell]

Results
E_form (uncorrected): -1.1590 eV per atom

(10)
This record from Alexandria via LeMat-Bulk describes NdPu2NpN4 after structural relaxation. The functional is PBE-GGA.

Unit cell a=6.064 b=3.501 c=6.093 alpha=90.00 beta=109.49 gamma=90.00
Space group P2/m (No. 10)
One atom of each set of equivalent atoms:
Nd 0.000 0.000 0.000 [1 per cell]
Pu 0.500 0.000 0.500 [1 per cell]
Pu 0.500 0.500 0.000 [1 per cell]
Np 0.000 0.500 0.500 [1 per cell]
N 0.244 0.000 0.729 [2 per cell]
N 0.258 0.500 0.280 [2 per cell]

Results
E_form (uncorrected): -1.1969 eV per atom

(11)
This record from Alexandria via LeMat-Bulk describes Nd2PuNpN4 after structural relaxation. The functional is PBE-GGA.

Unit cell a=6.126 b=3.538 c=6.147 alpha=90.00 beta=109.30 gamma=90.00
Space group P2/m (No. 10)
One atom of each set of equivalent atoms:
Nd 0.000 0.000 0.000 [1 per cell]
Nd 0.500 0.500 0.000 [1 per cell]
Pu 0.000 0.500 0.500 [1 per cell]
Np 0.500 0.000 0.500 [1 per cell]
N 0.247 0.000 0.718 [2 per cell]
N 0.267 0.500 0.282 [2 per cell]

Results
E_form (uncorrected): -1.2984 eV per atom

(12)
This record from Alexandria via LeMat-Bulk describes Nd3Pu2NpN6 after structural relaxation. The functional is PBE-GGA.

Unit cell a=6.136 b=10.630 c=6.150 alpha=90.00 beta=109.42 gamma=90.00
Space group C2/m (No. 12)
One atom of each set of equivalent atoms:
Nd 0.000 0.000 0.000 [2 per cell]
Nd 0.000 0.332 0.000 [4 per cell]
Pu 0.000 0.166 0.500 [4 per cell]
Np 0.000 0.500 0.500 [2 per cell]
N 0.235 0.338 0.719 [8 per cell]
N 0.250 0.000 0.720 [4 per cell]

Results
E_form (uncorrected): -1.3100 eV per atom

Question: Among the records above, which one has the lowest E_form (uncorrected)?
Answer: Nd3NpPa2N6